Record 1
VASP calculation (PBE) on a geometry-optimized Ta2CrCd structure.

```
4
Lattice="4.4205 0.0000 0.0000 0.0000 2.8822 -0.0019 0.0000 1.2441 5.5199" Properties=species:S:1:pos:R:3 pbc="T T T"
Ta 2.2103 1.0126 1.2212
Cr 2.2103 3.0488 4.3826
Cd 0.0000 2.3060 2.7895
Ta 0.0000 3.9485 5.4018
```

Computed properties:
Final energy: -32.8 eV for the cell shown
Energy of formation: 0.35 eV/atom
Magnetic moment: 0.002 Bohr magnetons per cell
SG: Pm

***

Record 2
VASP calculation (PBE) on a geometry-optimized TaCr2CdTc structure.

```
5
Lattice="-1.5873 -2.4747 3.3251 4.8294 -1.3813 1.2774 0.2762 3.4895 2.7289" Properties=species:S:1:pos:R:3 pbc="T T T"
Cr 0.1381 1.7447 1.3644
Cd 2.4147 -0.6906 0.6387
Cr -0.7937 -1.2373 1.6625
Tc 1.7591 -0.1832 3.6657
Ta 0.0000 0.0000 0.0000
```

Computed properties:
Final energy: -32.1 eV for the cell shown
Energy of formation: 2.06 eV/atom
Magnetic moment: 3.394 Bohr magnetons per cell
SG: P4/mmm

***

Record 3
VASP calculation (PBE) on a geometry-optimized TbTmCrCd structure.

```
4
Lattice="-2.1591 -2.9127 -3.6705 2.9094 -3.2418 -2.7649 -0.4527 -5.0939 0.6825" Properties=species:S:1:pos:R:3 pbc="T T T"
Tm 0.0000 0.0000 0.0000
Cd 0.0744 -2.8121 -1.4382
Tb 0.1488 -5.6242 -2.8765
Cr 0.2232 -8.4363 -4.3147
```

Computed properties:
Final energy: -19.5 eV for the cell shown
Energy of formation: 0.03 eV/atom
Magnetic moment: 3.542 Bohr magnetons per cell
SG: F-43m